The following is a PBE-GGA calculation of a relaxed structure of SnIr2PdN, from Alexandria.

Properties
**E_tot**: -6.62 eV per atom
**Size of the total moment**: 0.0 Bohr magnetons per cell
**D(E_F)**: 2.71 states/eV/cell

a b c (Å): 3.9741 5.0532 3.9741
angles (deg): 90.00 90.00 90.00
With the nearest neighbours (Å) after each atom.
Element x y z (fractional)
Sn: 0.0000 0.5000 0.0000  2 N 2.53, 4 Pd 2.81
Pd: 0.5000 0.5000 0.5000  4 Sn 2.81
Ir: 0.5000 0.0000 0.0000  2 N 1.99
Ir: 0.0000 0.0000 0.5000  2 N 1.99
N: 0.0000 0.0000 0.0000  4 Ir 1.99

---

The following is a PBE-GGA calculation of a relaxed structure of Sr2IrPdN, from Alexandria.

Properties
**E_tot**: -5.71 eV per atom
**Size of the total moment**: 0.0 Bohr magnetons per cell
**D(E_F)**: 1.97 states/eV/cell

a b c (Å): 5.4490 5.4490 3.7581
angles (deg): 90.00 90.00 90.00
With the nearest neighbours (Å) after each atom.
Element x y z (fractional)
Pd: 0.5000 0.5000 0.5000  8 Sr 3.31
Ir: 0.0000 0.0000 0.5000  2 N 1.88
Sr: 0.5000 0.0000 0.0000  2 N 2.72
Sr: 0.0000 0.5000 0.0000  2 N 2.72
N: 0.0000 0.0000 0.0000  2 Ir 1.88

---

The following is a PBE-GGA calculation of a relaxed structure of Ti2IrPdN, from Alexandria.

Properties
**E_tot**: -6.18 eV per atom
**Size of the total moment**: 0.0 Bohr magnetons per cell
**D(E_F)**: 6.92 states/eV/cell

a b c (Å): 4.6378 4.8601 4.6378
angles (deg): 90.00 90.00 90.00
With the nearest neighbours (Å) after each atom.
Element x y z (fractional)
Ti: 0.5000 0.0000 0.0000  2 Ir 2.32
Ti: 0.0000 0.0000 0.5000  2 Ir 2.32
Ir: 0.0000 0.0000 0.0000  4 Ti 2.32, 2 Pd 2.43
N: 0.5000 0.5000 0.5000  4 Pd 3.28, 8 Ti 3.36
Pd: 0.0000 0.5000 0.0000  2 Ir 2.43

---

The following is a PBE-GGA calculation of a relaxed structure of Pm6IrN2, from Alexandria.

Properties
**E_tot**: -6.72 eV per atom
**Size of the total moment**: 0.0 Bohr magnetons per cell
**D(E_F)**: 7.11 states/eV/cell

a b c (Å): 4.9215 6.6657 8.2116
angles (deg): 69.76 72.56 68.34
With the nearest neighbours (Å) after each atom.
Element x y z (fractional)
Pm: 0.6945 0.6940 0.9170  3 N 2.47-2.58
Pm: 0.0175 0.1617 0.8033  2 N 2.50-2.62, 1 Ir 2.72
Pm: 0.3434 0.7177 0.5956  1 N 2.50
Pm: 0.6566 0.2823 0.4044  1 N 2.50
Pm: 0.3055 0.3060 0.0830  3 N 2.47-2.58
Pm: 0.9825 0.8383 0.1967  2 N 2.50-2.62, 1 Ir 2.72
N: 0.1812 0.7243 0.9133  6 Pm 2.47-2.62
N: 0.8188 0.2757 0.0867  6 Pm 2.47-2.62
Ir: 0.0000 0.5000 0.5000  6 Pm 2.72-3.00